PBE TaNi4, optimized geometry; total magnetization = 0.0 μB/f.u.; VASP energy = -27.5 eV for the cell shown; N(E_F) = 4.870 states/eV/f.u.; SG = No. 221
1.0
4.466 0.000 0.000
0.000 4.466 0.000
0.000 0.000 4.466
Ta Ni
1 4
direct
0.000 0.000 0.000
0.000 0.000 0.500
0.000 0.500 0.000
0.500 0.000 0.000
0.500 0.500 0.500


PBE Ta2Ni3, optimized geometry; total magnetization = 0.0 μB/f.u.; VASP energy = -40.6 eV for the cell shown; N(E_F) = 5.825 states/eV/f.u.; SG = No. 164
1.0
4.154 0.000 0.000
-2.077 3.598 0.000
0.000 0.000 5.077
Ta Ni
2 3
direct
0.333 0.667 0.198
0.667 0.333 0.802
0.000 0.000 0.500
0.333 0.667 0.707
0.667 0.333 0.293


PBE TaNi, optimized geometry; total magnetization = 0.0 μB/f.u.; VASP energy = -68.5 eV for the cell shown; N(E_F) = 2.206 states/eV/f.u.; SG = No. 136
1.0
4.972 0.000 0.000
0.000 4.972 0.000
0.000 0.000 5.046
Ta Ni
4 4
direct
0.201 0.201 0.000
0.299 0.701 0.500
0.701 0.299 0.500
0.799 0.799 0.000
0.182 0.182 0.500
0.318 0.682 0.000
0.682 0.318 0.000
0.818 0.818 0.500


> Which of these has the lowest N(E_F)?

TaNi